# 1
Density functional theory data (PBE-GGA) for a geometry-optimized YIrPb2 structure. Values from VASP.

Cell and atoms, written as Quantum ESPRESSO input:
```
&SYSTEM
  ibrav = 0, nat = 4, ntyp = 3
/
ATOMIC_SPECIES
Pb 207.20 Pb.upf
Ir 192.22 Ir.upf
Y 88.91 Y.upf
CELL_PARAMETERS angstrom
-0.345 -2.752 -2.737
3.501 -1.655 1.222
-1.584 -4.691 4.916
ATOMIC_POSITIONS crystal
Pb 0.500 0.186 0.254
Pb 0.000 0.814 0.997
Ir 0.500 0.975 0.675
Y 0.000 0.525 0.574
```

Results
- Formation enthalpy at 0 K: -0.24 eV/atom
- Energy relative to the lowest polymorph listed for this composition: 0 meV/atom

# 2
Density functional theory data (PBE-GGA) for a geometry-optimized Y3IrPb structure. Values from VASP.

Cell and atoms, written as Quantum ESPRESSO input:
```
&SYSTEM
  ibrav = 0, nat = 10, ntyp = 3
/
ATOMIC_SPECIES
Y 88.91 Y.upf
Ir 192.22 Ir.upf
Pb 207.20 Pb.upf
CELL_PARAMETERS angstrom
7.091 -0.001 0.058
0.001 3.762 -0.003
0.589 -1.874 10.362
ATOMIC_POSITIONS crystal
Y 0.355 0.568 0.875
Y 0.582 0.737 0.214
Y 0.382 0.376 0.491
Y 0.839 0.582 0.903
Y 0.155 0.207 0.152
Y 0.898 0.362 0.463
Ir 0.178 0.807 0.353
Ir 0.558 0.137 0.012
Pb 0.636 0.971 0.681
Pb 0.100 0.973 0.685
```

Results
- Formation enthalpy at 0 K: -0.59 eV/atom
- Energy relative to the lowest polymorph listed for this composition: 24 meV/atom

# 3
Density functional theory data (PBE-GGA) for a geometry-optimized YIrPb2 structure. Values from VASP.

Cell and atoms, written as Quantum ESPRESSO input:
```
&SYSTEM
  ibrav = 0, nat = 4, ntyp = 3
/
ATOMIC_SPECIES
Pb 207.20 Pb.upf
Ir 192.22 Ir.upf
Y 88.91 Y.upf
CELL_PARAMETERS angstrom
7.168 0.812 -0.196
4.284 5.804 0.196
-5.279 -4.082 2.748
ATOMIC_POSITIONS crystal
Pb 0.068 0.068 0.000
Pb 0.432 0.432 0.000
Ir 0.250 0.750 0.500
Y 0.750 0.250 0.500
```

Results
- Formation enthalpy at 0 K: -0.17 eV/atom
- Energy relative to the lowest polymorph listed for this composition: 68 meV/atom

# 4
Density functional theory data (PBE-GGA) for a geometry-optimized Y5Ir4Pb structure. Values from VASP.

Cell and atoms, written as Quantum ESPRESSO input:
```
&SYSTEM
  ibrav = 0, nat = 10, ntyp = 3
/
ATOMIC_SPECIES
Y 88.91 Y.upf
Ir 192.22 Ir.upf
Pb 207.20 Pb.upf
CELL_PARAMETERS angstrom
3.357 0.000 0.000
0.000 3.357 0.000
0.000 0.000 19.412
ATOMIC_POSITIONS crystal
Y 0.500 0.500 0.500
Y 0.500 0.500 0.131
Y 0.500 0.500 0.685
Y 0.500 0.500 0.315
Y 0.500 0.500 0.869
Ir 0.000 0.000 0.593
Ir 0.000 0.000 0.407
Ir 0.000 0.000 0.781
Ir 0.000 0.000 0.219
Pb 0.000 0.000 0.000
```

Results
- Formation enthalpy at 0 K: -0.73 eV/atom

# 5
Density functional theory data (PBE-GGA) for a geometry-optimized YIr2Pb structure. Values from VASP.

Cell and atoms, written as Quantum ESPRESSO input:
```
&SYSTEM
  ibrav = 0, nat = 4, ntyp = 3
/
ATOMIC_SPECIES
Y 88.91 Y.upf
Ir 192.22 Ir.upf
Pb 207.20 Pb.upf
CELL_PARAMETERS angstrom
-0.818 0.868 -3.603
-3.694 0.107 0.864
0.449 5.544 1.234
ATOMIC_POSITIONS crystal
Y 0.500 0.500 0.792
Ir 0.500 0.500 0.285
Ir 0.000 0.000 0.968
Pb 0.000 0.000 0.455
```

Results
- Formation enthalpy at 0 K: -0.02 eV/atom

# 6
Density functional theory data (PBE-GGA) for a geometry-optimized Y3IrPb structure. Values from VASP.

Cell and atoms, written as Quantum ESPRESSO input:
```
&SYSTEM
  ibrav = 0, nat = 10, ntyp = 3
/
ATOMIC_SPECIES
Pb 207.20 Pb.upf
Y 88.91 Y.upf
Ir 192.22 Ir.upf
CELL_PARAMETERS angstrom
-2.683 -3.606 -6.288
-2.786 -1.549 2.078
-5.557 7.447 -1.901
ATOMIC_POSITIONS crystal
Pb 0.858 0.445 0.448
Pb 0.720 0.945 0.948
Y 0.023 0.445 0.810
Y 0.391 0.445 0.018
Y 0.038 0.944 0.173
Y 0.555 0.945 0.310
Y 0.540 0.445 0.673
Y 0.187 0.945 0.518
Ir 0.303 0.945 0.799
Ir 0.275 0.445 0.299
```

Results
- Formation enthalpy at 0 K: -0.60 eV/atom
- Energy relative to the lowest polymorph listed for this composition: 17 meV/atom

# 7
Density functional theory data (PBE-GGA) for a geometry-optimized YIrPb2 structure. Values from VASP.

Cell and atoms, written as Quantum ESPRESSO input:
```
&SYSTEM
  ibrav = 0, nat = 8, ntyp = 3
/
ATOMIC_SPECIES
Pb 207.20 Pb.upf
Ir 192.22 Ir.upf
Y 88.91 Y.upf
CELL_PARAMETERS angstrom
8.267 0.000 0.000
0.000 8.267 0.000
4.134 4.134 3.023
ATOMIC_POSITIONS crystal
Pb 0.375 0.322 0.750
Pb 0.678 0.125 0.250
Pb 0.875 0.928 0.750
Pb 0.072 0.625 0.250
Ir 0.750 0.250 0.500
Ir 0.000 0.000 0.000
Y 0.500 0.500 0.000
Y 0.250 0.750 0.500
```

Results
- Formation enthalpy at 0 K: -0.10 eV/atom
- Energy relative to the lowest polymorph listed for this composition: 135 meV/atom

# 8
Density functional theory data (PBE-GGA) for a geometry-optimized Y3IrPb structure. Values from VASP.

Cell and atoms, written as Quantum ESPRESSO input:
```
&SYSTEM
  ibrav = 0, nat = 10, ntyp = 3
/
ATOMIC_SPECIES
Y 88.91 Y.upf
Ir 192.22 Ir.upf
Pb 207.20 Pb.upf
CELL_PARAMETERS angstrom
-3.788 -2.685 -1.593
4.284 -2.166 1.025
-4.730 -2.243 15.032
ATOMIC_POSITIONS crystal
Y 0.000 0.000 0.750
Y 0.667 0.333 0.437
Y 0.333 0.667 0.937
Y 0.000 0.000 0.250
Y 0.667 0.333 0.063
Y 0.333 0.667 0.563
Ir 0.000 0.000 0.500
Ir 0.000 0.000 0.000
Pb 0.333 0.667 0.750
Pb 0.667 0.333 0.250
```

Results
- Formation enthalpy at 0 K: -0.05 eV/atom
- Energy relative to the lowest polymorph listed for this composition: 563 meV/atom

The evaluated theoretical density for the records listed, in turn: 10934, 8008, 10786, 10781, 13770, 7931, 11178, 6661 kg/m³.